Run w
This record from Alexandria via LeMat-Bulk describes LaAgB2 after structural relaxation. The functional is PBE.

Values from the calculation:
The magnetization comes out at 0.0 μB per formula unit.

Cell: 4.331 4.331 15.084 Å, 90.00 90.00 90.00°
Space group I4_1/amd (No. 141, origin choice 2)
Unique sites:
1 La 0.000 0.250 0.375 [4 per cell]
2 Ag 0.000 0.250 0.875 [4 per cell]
3 B 0.000 0.000 0.000 [8 per cell]



Run x
This record from Alexandria via LeMat-Bulk describes LaAgB2 after structural relaxation. The functional is PBE.

Values from the calculation:
The magnetization comes out at 0.0 μB per formula unit.

Cell: 6.379 6.379 6.379 Å, 90.00 90.00 90.00°
Space group Fm-3m (No. 225)
Unique sites:
1 La 0.000 0.000 0.000 [4 per cell]
2 Ag 0.000 0.000 0.500 [4 per cell]
3 B 0.250 0.250 0.250 [8 per cell]



Most stable = run w



Run w
This record from Alexandria via LeMat-Bulk describes LiAg3B after structural relaxation. The functional is PBE.

Values from the calculation:
The magnetization comes out at 0.0 μB per formula unit.

Cell: 4.374 4.374 4.374 Å, 90.00 90.00 90.00°
Space group Pm-3m (No. 221)
Unique sites:
1 Li 0.000 0.000 0.000 [1 per cell]
2 Ag 0.000 0.500 0.500 [3 per cell]
3 B 0.500 0.500 0.500 [1 per cell]



Run x
This record from Alexandria via LeMat-Bulk describes LiAg3B after structural relaxation. The functional is PBE.

Values from the calculation:
The magnetization comes out at 0.0 μB per formula unit.

Cell: 4.476 4.476 4.476 Å, 90.00 90.00 90.00°
Space group Pm-3m (No. 221)
Unique sites:
1 Li 0.000 0.000 0.000 [1 per cell]
2 Ag 0.000 0.000 0.500 [3 per cell]
3 B 0.500 0.500 0.500 [1 per cell]



Most stable = run w



Run w
This record from Alexandria via LeMat-Bulk describes LiAgBPt2 after structural relaxation. The functional is PBE.

Values from the calculation:
The magnetization comes out at 0.0 μB per formula unit.

Cell: 4.085 4.085 4.424 Å, 90.00 90.00 90.00°
Space group P4/mmm (No. 123)
Unique sites:
1 Li 0.000 0.000 0.000 [1 per cell]
2 Ag 0.500 0.500 0.000 [1 per cell]
3 B 0.000 0.000 0.500 [1 per cell]
4 Pt 0.000 0.500 0.500 [2 per cell]



Run x
This record from Alexandria via LeMat-Bulk describes LiAgBPt2 after structural relaxation. The functional is PBE.

Values from the calculation:
The magnetization comes out at 0.0 μB per formula unit.

Cell: 4.115 4.115 4.511 Å, 90.00 90.00 90.00°
Space group P4/mmm (No. 123)
Unique sites:
1 Li 0.000 0.000 0.000 [1 per cell]
2 Ag 0.500 0.500 0.000 [1 per cell]
3 B 0.500 0.500 0.500 [1 per cell]
4 Pt 0.000 0.500 0.500 [2 per cell]



Most stable = run w